Record 1
This record from Alexandria describes a relaxed structure of ZrPCl2. The functional is PBE-GGA.

Lattice parameters (Å, degrees): 7.787 7.787 7.787 156.81 142.89 44.22
Positions (direct):
Zr 0.000 0.000 0.000
P 0.853 0.353 0.500
Cl 0.141 0.641 0.500
Cl 0.496 0.496 0.000

Results
The value obtained for the total energy is -20.3 eV for the cell shown. The calculation puts the energy above the lowest structure with this stoichiometry at 0.364 eV/atom. The space group is Imm2, No. 44. The total magnetization is 0.4 μB per cell. For the raw formation energy, the calculation gives -0.67 eV per atom.

---

Record 2
This record from Alexandria describes a relaxed structure of ZrPCl. The functional is PBE-GGA.

Lattice parameters (Å, degrees): 4.385 4.385 3.342 90.00 90.00 120.00
Positions (direct):
Zr 0.000 0.000 0.000
P 0.667 0.333 0.500
Cl 0.333 0.667 0.000

Results
The value obtained for the total energy is -18.0 eV for the cell shown. The calculation puts the energy above the lowest structure with this stoichiometry at 0.620 eV/atom. The space group is P-6m2, No. 187. The total magnetization is 0.0 μB per cell. For the raw formation energy, the calculation gives -0.72 eV per atom.

---

Record 3
This record from Alexandria describes a relaxed structure of Zr4PCl. The functional is PBE-GGA.

Lattice parameters (Å, degrees): 5.725 5.725 5.725 60.00 60.00 60.00
Positions (direct):
Zr 0.376 0.376 0.376
Zr 0.376 0.376 0.871
Zr 0.376 0.871 0.376
Zr 0.871 0.376 0.376
P 0.750 0.750 0.750
Cl 0.000 0.000 0.000

Results
The value obtained for the total energy is -39.0 eV for the cell shown. The space group is F-43m, No. 216. The total magnetization is 0.0 μB per cell. For the raw formation energy, the calculation gives 0.40 eV per atom.

---

Record 4
This record from Alexandria describes a relaxed structure of ZrPCl2. The functional is PBE-GGA.

Lattice parameters (Å, degrees): 7.090 7.090 7.090 97.37 97.37 138.03
Positions (direct):
Zr 0.000 0.000 0.000
Zr 0.750 0.250 0.500
P 0.250 0.750 0.500
P 0.500 0.500 0.000
Cl 0.375 0.225 0.350
Cl 0.775 0.125 0.150
Cl 0.875 0.025 0.650
Cl 0.975 0.625 0.850

Results
The value obtained for the total energy is -41.0 eV for the cell shown. The calculation puts the energy above the lowest structure with this stoichiometry at 0.323 eV/atom. The space group is I-42d, No. 122. The total magnetization is 2.0 μB per cell. For the raw formation energy, the calculation gives -0.71 eV per atom.

---

Record 5
This record from Alexandria describes a relaxed structure of ZrP2Cl. The functional is PBE-GGA.

Lattice parameters (Å, degrees): 5.042 5.042 3.521 90.05 90.05 123.05
Positions (direct):
Zr 0.000 0.000 0.000
P 0.000 0.500 0.500
P 0.500 0.000 0.500
Cl 0.500 0.500 0.000

Results
The value obtained for the total energy is -22.1 eV for the cell shown. The calculation puts the energy above the lowest structure with this stoichiometry at 0.625 eV/atom. The space group is C2/m, No. 12. The total magnetization is 0.0 μB per cell. For the raw formation energy, the calculation gives -0.23 eV per atom.

---

Record 6
This record from Alexandria describes a relaxed structure of ZrPCl. The functional is PBE-GGA.

Lattice parameters (Å, degrees): 3.563 4.861 9.679 91.43 90.37 111.48
Positions (direct):
Zr 0.000 0.000 0.000
Zr 0.266 0.521 0.286
P 0.293 0.584 0.031
P 0.556 0.105 0.209
Cl 0.558 0.123 0.810
Cl 0.844 0.672 0.471

Results
The value obtained for the total energy is -38.9 eV for the cell shown. The calculation puts the energy above the lowest structure with this stoichiometry at 0.120 eV/atom. The space group is P1, No. 1. The total magnetization is 0.0 μB per cell. For the raw formation energy, the calculation gives -1.22 eV per atom.

---

Record 7
This record from Alexandria describes a relaxed structure of ZrPCl2. The functional is PBE-GGA.

Lattice parameters (Å, degrees): 5.074 5.074 7.441 109.11 109.11 39.90
Positions (direct):
Zr 0.000 0.000 0.000
P 0.292 0.292 0.000
Cl 0.487 0.487 0.733
Cl 0.632 0.632 0.267

Results
The value obtained for the total energy is -21.6 eV for the cell shown. The calculation puts the energy above the lowest structure with this stoichiometry at 0.037 eV/atom. The space group is Cm, No. 8. The total magnetization is 0.9 μB per cell. For the raw formation energy, the calculation gives -1.00 eV per atom.

---

Record 8
This record from Alexandria describes a relaxed structure of ZrP2Cl. The functional is PBE-GGA.

Lattice parameters (Å, degrees): 5.428 5.428 5.428 139.28 139.28 58.96
Positions (direct):
Zr 0.000 0.000 0.000
P 0.250 0.750 0.500
P 0.750 0.250 0.500
Cl 0.500 0.500 0.000

Results
The value obtained for the total energy is -22.5 eV for the cell shown. The calculation puts the energy above the lowest structure with this stoichiometry at 0.539 eV/atom. The space group is I4/mmm, No. 139. The total magnetization is 0.0 μB per cell. For the raw formation energy, the calculation gives -0.32 eV per atom.